# 1
## Nd6Fe13Ag (GGA-PBE)

Data for Nd6Fe13Ag after structural relaxation.

Results
VASP energy (eV/atom): -6.990
Energy of formation from the pure elements (eV per formula unit): -0.39

Unit cell a=12.787 b=12.787 c=12.787 alpha=143.53 beta=143.53 gamma=52.53
Site moments in Bohr magnetons follow the coordinates.
Fractional coordinates of all 40 atoms:
1 Fe 0.881 0.738 0.500  2.15
2 Fe 0.290 0.018 0.500  2.30
3 Fe 0.290 0.567 0.857  2.21
4 Fe 0.762 0.619 0.500  2.16
5 Fe 0.518 0.790 0.500  2.31
6 Fe 0.738 0.238 0.857  2.15
7 Nd 0.024 0.848 0.500  -0.25
8 Nd 0.524 0.024 0.176  -0.26
9 Fe 0.482 0.210 0.500  2.31
10 Nd 0.152 0.652 0.176  -0.26
11 Fe 0.567 0.710 0.277  2.22
12 Fe 0.710 0.433 0.143  2.21
13 Fe 0.210 0.067 0.277  2.21
14 Fe 0.119 0.262 0.500  2.15
15 Fe 0.790 0.933 0.723  2.21
16 Nd 0.894 0.894 0.000  -0.27
17 Fe 0.210 0.710 0.728  2.31
18 Nd 0.394 0.394 0.000  -0.27
19 Nd 0.106 0.106 0.000  -0.27
20 Fe 0.262 0.762 0.143  2.15
21 Fe 0.710 0.982 0.500  2.30
22 Fe 0.018 0.518 0.728  2.31
23 Nd 0.976 0.152 0.500  -0.25
24 Nd 0.348 0.524 0.500  -0.26
25 Nd 0.652 0.476 0.500  -0.26
26 Fe 0.000 0.500 0.500  1.93
27 Ag 0.250 0.250 0.000  -0.02
28 Nd 0.606 0.606 0.000  -0.27
29 Fe 0.500 0.000 0.500  1.93
30 Ag 0.750 0.750 0.000  -0.02
31 Fe 0.381 0.881 0.143  2.15
32 Fe 0.238 0.381 0.500  2.16
33 Fe 0.619 0.119 0.857  2.15
34 Fe 0.982 0.482 0.272  2.31
35 Fe 0.067 0.790 0.857  2.22
36 Nd 0.476 0.976 0.824  -0.26
37 Fe 0.933 0.210 0.143  2.22
38 Fe 0.790 0.290 0.272  2.31
39 Fe 0.433 0.290 0.723  2.22
40 Nd 0.848 0.348 0.824  -0.26

# 2
## NdFeSi2Ag (GGA-PBE)

Data for NdFeSi2Ag after structural relaxation.

Results
VASP energy (eV/atom): -5.763

Unit cell a=5.896 b=5.896 c=5.896 alpha=138.58 beta=138.58 gamma=60.02
Site moments in Bohr magnetons follow the coordinates.
Fractional coordinates of all 5 atoms:
1 Fe 0.500 0.500 0.000  2.10
2 Ag 0.000 0.000 0.000  0.02
3 Si 0.131 0.631 0.500  -0.02
4 Nd 0.750 0.250 0.500  0.01
5 Si 0.369 0.869 0.500  -0.02

# 3
## FeNiAgSb (GGA-PBE)

Data for FeNiAgSb after structural relaxation.

Results
VASP energy (eV/atom): -5.035

Unit cell a=4.419 b=4.419 c=4.419 alpha=60.00 beta=60.00 gamma=60.00
Fractional coordinates of all 4 atoms:
1 Ag 0.500 0.500 0.500
2 Ni 0.250 0.250 0.250
3 Fe 0.750 0.750 0.750
4 Sb 0.000 0.000 0.000

# 4
## FeSiNiAg (GGA-PBE)

Data for FeSiNiAg after structural relaxation.

Results
VASP energy (eV/atom): -5.449

Unit cell a=4.178 b=4.178 c=4.178 alpha=60.00 beta=60.00 gamma=60.00
Fractional coordinates of all 4 atoms:
1 Fe 0.750 0.750 0.750
2 Ag 0.500 0.500 0.500
3 Ni 0.250 0.250 0.250
4 Si 0.000 0.000 0.000

# 5
## FeSiNiAg (GGA-PBE)

Data for FeSiNiAg after structural relaxation.

Results
VASP energy (eV/atom): -5.395

Unit cell a=4.193 b=4.193 c=4.193 alpha=60.00 beta=60.00 gamma=60.00
Fractional coordinates of all 4 atoms:
1 Ag 0.250 0.250 0.250
2 Si 0.000 0.000 0.000
3 Fe 0.750 0.750 0.750
4 Ni 0.500 0.500 0.500

# 6
## FeNiAgSn (GGA-PBE)

Data for FeNiAgSn after structural relaxation.

Results
VASP energy (eV/atom): -5.033

Unit cell a=4.419 b=4.419 c=4.419 alpha=60.00 beta=60.00 gamma=60.00
Fractional coordinates of all 4 atoms:
1 Ag 0.500 0.500 0.500
2 Fe 0.750 0.750 0.750
3 Sn 0.000 0.000 0.000
4 Ni 0.250 0.250 0.250

# 7
## TlFeNiAg (GGA-PBE)

Data for TlFeNiAg after structural relaxation.

Results
VASP energy (eV/atom): -4.357

Unit cell a=4.479 b=4.479 c=4.479 alpha=60.00 beta=60.00 gamma=60.00
Fractional coordinates of all 4 atoms:
1 Ni 0.250 0.250 0.250
2 Tl 0.000 0.000 0.000
3 Fe 0.750 0.750 0.750
4 Ag 0.500 0.500 0.500

# 8
## FeAgOsPb (GGA-PBE)

Data for FeAgOsPb after structural relaxation.

Results
VASP energy (eV/atom): -5.697

Unit cell a=4.585 b=4.585 c=4.585 alpha=60.00 beta=60.00 gamma=60.00
Fractional coordinates of all 4 atoms:
1 Os 0.250 0.250 0.250
2 Fe 0.750 0.750 0.750
3 Ag 0.500 0.500 0.500
4 Pb 0.000 0.000 0.000

The lowest VASP energy belongs to which entry? Nd6Fe13Ag

Please write out number 1 again, unchanged.
## Nd6Fe13Ag (GGA-PBE)

Data for Nd6Fe13Ag after structural relaxation.

Results
VASP energy (eV/atom): -6.990
Energy of formation from the pure elements (eV per formula unit): -0.39

Unit cell a=12.787 b=12.787 c=12.787 alpha=143.53 beta=143.53 gamma=52.53
Site moments in Bohr magnetons follow the coordinates.
Fractional coordinates of all 40 atoms:
1 Fe 0.881 0.738 0.500  2.15
2 Fe 0.290 0.018 0.500  2.30
3 Fe 0.290 0.567 0.857  2.21
4 Fe 0.762 0.619 0.500  2.16
5 Fe 0.518 0.790 0.500  2.31
6 Fe 0.738 0.238 0.857  2.15
7 Nd 0.024 0.848 0.500  -0.25
8 Nd 0.524 0.024 0.176  -0.26
9 Fe 0.482 0.210 0.500  2.31
10 Nd 0.152 0.652 0.176  -0.26
11 Fe 0.567 0.710 0.277  2.22
12 Fe 0.710 0.433 0.143  2.21
13 Fe 0.210 0.067 0.277  2.21
14 Fe 0.119 0.262 0.500  2.15
15 Fe 0.790 0.933 0.723  2.21
16 Nd 0.894 0.894 0.000  -0.27
17 Fe 0.210 0.710 0.728  2.31
18 Nd 0.394 0.394 0.000  -0.27
19 Nd 0.106 0.106 0.000  -0.27
20 Fe 0.262 0.762 0.143  2.15
21 Fe 0.710 0.982 0.500  2.30
22 Fe 0.018 0.518 0.728  2.31
23 Nd 0.976 0.152 0.500  -0.25
24 Nd 0.348 0.524 0.500  -0.26
25 Nd 0.652 0.476 0.500  -0.26
26 Fe 0.000 0.500 0.500  1.93
27 Ag 0.250 0.250 0.000  -0.02
28 Nd 0.606 0.606 0.000  -0.27
29 Fe 0.500 0.000 0.500  1.93
30 Ag 0.750 0.750 0.000  -0.02
31 Fe 0.381 0.881 0.143  2.15
32 Fe 0.238 0.381 0.500  2.16
33 Fe 0.619 0.119 0.857  2.15
34 Fe 0.982 0.482 0.272  2.31
35 Fe 0.067 0.790 0.857  2.22
36 Nd 0.476 0.976 0.824  -0.26
37 Fe 0.933 0.210 0.143  2.22
38 Fe 0.790 0.290 0.272  2.31
39 Fe 0.433 0.290 0.723  2.22
40 Nd 0.848 0.348 0.824  -0.26

What did the fifth record say?
## FeSiNiAg (GGA-PBE)

Data for FeSiNiAg after structural relaxation.

Results
VASP energy (eV/atom): -5.395

Unit cell a=4.193 b=4.193 c=4.193 alpha=60.00 beta=60.00 gamma=60.00
Fractional coordinates of all 4 atoms:
1 Ag 0.250 0.250 0.250
2 Si 0.000 0.000 0.000
3 Fe 0.750 0.750 0.750
4 Ni 0.500 0.500 0.500

Among the records above, which one has the lowest VASP energy? Nd6Fe13Ag